Density functional theory data (PBE) for LaTi2TeF after structural relaxation.

Results
magnetization	3.94	Bohr magnetons per cell
uncorrected formation energy	-0.059	eV per atom
calculated density	4.81	g cm⁻³

Unit cell a=5.4424 b=5.4424 c=4.4411 alpha=90.00 beta=90.00 gamma=90.00
Space group P4/mmm (No. 123)
Asymmetric unit:
1 La 0.0000 0.0000 0.0000
2 Ti 0.0000 0.5000 0.0000
3 Te 0.5000 0.5000 0.5000
4 F 0.0000 0.0000 0.5000